No. 1
This record from Alexandria via LeMat-Bulk describes a relaxed structure of IrSO2. The functional is PBE.

Calculated values
Its raw total energy is -5.5656 eV/atom. Its space group is I-42d.

Structure (CIF):
```
data_IrSO2
_cell_length_a 6.9855
_cell_length_b 6.9855
_cell_length_c 5.4458
_cell_angle_alpha 50.11
_cell_angle_beta 50.11
_cell_angle_gamma 90.00
_space_group_name_H-M_alt 'P 1'
_space_group_IT_number 1
loop_
_space_group_symop_operation_xyz
'x,y,z'
loop_
_atom_site_label
_atom_site_fract_x
_atom_site_fract_y
_atom_site_fract_z
_atom_site_occupancy
O1 0.8750 0.0129 0.7500 1
O2 0.9871 0.6250 0.2500 1
S1 0.2500 0.7500 0.5000 1
S2 0.5000 0.5000 0.0000 1
O3 0.7629 0.1250 0.2500 1
Ir1 0.0000 0.0000 0.0000 1
O4 0.3750 0.2371 0.7500 1
Ir2 0.7500 0.2500 0.5000 1
```

***

No. 2
This record from Alexandria via LeMat-Bulk describes a relaxed structure of Na4U3AuSe8. The functional is PBE.

Calculated values
Its raw total energy is -5.4331 eV/atom. Its space group is C2/m.

Structure (CIF):
```
data_Na4U3AuSe8
_cell_length_a 8.1931
_cell_length_b 8.5114
_cell_length_c 8.2432
_cell_angle_alpha 119.05
_cell_angle_beta 119.80
_cell_angle_gamma 90.00
_space_group_name_H-M_alt 'P 1'
_space_group_IT_number 1
loop_
_space_group_symop_operation_xyz
'x,y,z'
loop_
_atom_site_label
_atom_site_fract_x
_atom_site_fract_y
_atom_site_fract_z
_atom_site_occupancy
Au1 0.0000 0.5000 0.0000 1
Se1 0.7442 0.7343 0.4884 1
U1 0.0000 0.5000 0.5000 1
Se2 0.2558 0.2657 0.5116 1
Se3 0.2446 0.7294 0.9833 1
Na1 0.5000 0.0000 0.5000 1
Na2 0.5000 0.0000 0.0000 1
Na3 0.0000 0.0000 0.0000 1
Se4 0.2499 0.7335 0.4997 1
U2 0.5000 0.5000 0.0000 1
U3 0.5000 0.5000 0.5000 1
Se5 0.2613 0.2706 0.0167 1
Na4 0.0000 0.0000 0.5000 1
Se6 0.7554 0.2706 0.0167 1
Se7 0.7387 0.7294 0.9833 1
Se8 0.7501 0.2665 0.5003 1
```

***

No. 3
This record from Alexandria via LeMat-Bulk describes a relaxed structure of K4BaP. The functional is PBE.

Calculated values
Its raw total energy is -1.5562 eV/atom. The calculation puts the formation energy from the elements at 38 kJ/mol of atoms. Its space group is F-43m.

Structure (CIF):
```
data_K4BaP
_cell_length_a 7.4797
_cell_length_b 7.4797
_cell_length_c 7.4797
_cell_angle_alpha 60.00
_cell_angle_beta 60.00
_cell_angle_gamma 60.00
_space_group_name_H-M_alt 'P 1'
_space_group_IT_number 1
loop_
_space_group_symop_operation_xyz
'x,y,z'
loop_
_atom_site_label
_atom_site_fract_x
_atom_site_fract_y
_atom_site_fract_z
_atom_site_occupancy
K1 0.6222 0.6222 0.6222 1
K2 0.1333 0.6222 0.6222 1
Ba1 0.0000 0.0000 0.0000 1
P1 0.2500 0.2500 0.2500 1
K3 0.6222 0.1333 0.6222 1
K4 0.6222 0.6222 0.1333 1
```